[1]
This record from Alexandria describes an optimized crystal structure of Er2ThCd. The functional is PBE.

Energy of formation from the pure elements in meV/atom: -32
VASP energy in eV per cell: -17.59
Energy relative to the lowest polymorph listed for this composition in eV per atom: 0.130

a = 4.846 Å, b = 4.863 Å, c = 4.863 Å
α = 90.00°, β = 90.00°, γ = 90.00°
Atoms (fractional coordinates):
Cd1 0.500 0.000 0.000
Th1 0.500 0.500 0.500
Er1 0.000 0.000 0.500
Er2 0.000 0.500 0.000

[2]
This record from Alexandria describes an optimized crystal structure of Er2ThCd3. The functional is PBE.

Energy of formation from the pure elements in meV/atom: -231
VASP energy in eV per cell: -20.68

a = 3.573 Å, b = 3.573 Å, c = 12.373 Å
α = 90.00°, β = 90.00°, γ = 90.00°
Atoms (fractional coordinates):
Er1 0.500 0.500 0.841
Er2 0.500 0.500 0.159
Th1 0.500 0.500 0.500
Cd1 0.000 0.000 0.000
Cd2 0.000 0.000 0.684
Cd3 0.000 0.000 0.316